# 1
Compound: Dy4Cu3Ni
Source: the Alexandria database
Functional: PBE
Structure: optimized geometry

Theoretical density (g/cm3): 8.8
Calculated formation energy (kcal/mol of atoms): -7.25
VASP energy (eV per atom): -4.87
Size of the total moment (Bohr magnetons per cell): 0.00
N(E_F) (states/eV/f.u.): 4.578
Space group: Pmm2, No. 25

a b c (Å): 3.743 4.417 10.228
angles (deg): 90.00 90.00 90.00
Positions (direct):
Dy 0.500 0.500 0.353
Dy 0.000 0.500 0.867
Dy 0.000 0.000 0.138
Dy 0.500 0.000 0.642
Cu 0.000 0.500 0.571
Cu 0.000 0.000 0.428
Cu 0.500 0.000 0.929
Ni 0.500 0.500 0.073



# 2
Compound: Dy3Cu3Ni
Source: the Alexandria database
Functional: PBE
Structure: optimized geometry

Theoretical density (g/cm3): 8.7
Calculated formation energy (kcal/mol of atoms): -6.85
VASP energy (eV per atom): -4.85
Size of the total moment (Bohr magnetons per cell): 0.00
N(E_F) (states/eV/f.u.): 4.810
Space group: Imm2, No. 44

a b c (Å): 4.258 3.716 9.298
angles (deg): 101.53 103.24 90.00
Positions (direct):
Dy 0.320 0.820 0.640
Dy 0.686 0.186 0.371
Dy 0.996 0.996 0.993
Cu 0.141 0.641 0.281
Cu 0.860 0.360 0.720
Cu 0.565 0.565 0.130
Ni 0.432 0.432 0.864



# 3
Compound: Dy4CuNi3
Source: the Alexandria database
Functional: PBE
Structure: optimized geometry

Theoretical density (g/cm3): 9.1
Calculated formation energy (kcal/mol of atoms): -9.37
VASP energy (eV per atom): -5.39
Size of the total moment (Bohr magnetons per cell): 0.00
N(E_F) (states/eV/f.u.): 6.490
Space group: Pmm2, No. 25

a b c (Å): 3.673 4.348 10.166
angles (deg): 90.00 90.00 90.00
Positions (direct):
Dy 0.500 0.500 0.367
Dy 0.000 0.500 0.855
Dy 0.000 0.000 0.141
Dy 0.500 0.000 0.638
Cu 0.500 0.500 0.071
Ni 0.000 0.500 0.575
Ni 0.000 0.000 0.426
Ni 0.500 0.000 0.928



# 4
Compound: DyCu4Ni4
Source: the Alexandria database
Functional: PBE
Structure: optimized geometry

Theoretical density (g/cm3): 9.3
Calculated formation energy (kcal/mol of atoms): -0.97
VASP energy (eV per atom): -4.94
Size of the total moment (Bohr magnetons per cell): 0.00
N(E_F) (states/eV/f.u.): 7.166
Space group: I4/mmm, No. 139

a b c (Å): 3.779 7.864 7.864
angles (deg): 90.00 90.00 90.00
Positions (direct):
Dy 0.000 0.000 0.000
Dy 0.500 0.500 0.500
Cu 0.500 0.819 0.181
Cu 0.500 0.181 0.819
Cu 0.000 0.681 0.681
Cu 0.000 0.319 0.681
Cu 0.000 0.681 0.319
Cu 0.500 0.181 0.181
Cu 0.500 0.819 0.819
Cu 0.000 0.319 0.319
Ni 0.500 0.500 0.845
Ni 0.000 0.655 0.000
Ni 0.500 0.500 0.155
Ni 0.000 0.000 0.655
Ni 0.500 0.845 0.500
Ni 0.000 0.000 0.345
Ni 0.000 0.345 0.000
Ni 0.500 0.155 0.500



# 5
Compound: DyCu5Ni2
Source: the Alexandria database
Functional: PBE
Structure: optimized geometry

Theoretical density (g/cm3): 8.7
Calculated formation energy (kcal/mol of atoms): -1.30
VASP energy (eV per atom): -4.64
Size of the total moment (Bohr magnetons per cell): 0.00
N(E_F) (states/eV/f.u.): 3.202
Space group: Immm, No. 71

a b c (Å): 3.722 5.882 5.882
angles (deg): 74.55 71.56 71.56
Positions (direct):
Dy 0.000 0.000 0.000
Cu 0.000 0.500 0.500
Cu 0.652 0.526 0.169
Cu 0.348 0.474 0.831
Cu 0.348 0.831 0.474
Cu 0.652 0.169 0.526
Ni 0.727 0.773 0.773
Ni 0.273 0.227 0.227



# 6
Compound: DyCu2Ni5
Source: the Alexandria database
Functional: PBE
Structure: optimized geometry

Theoretical density (g/cm3): 8.8
Calculated formation energy (kcal/mol of atoms): -0.28
VASP energy (eV per atom): -5.22
Size of the total moment (Bohr magnetons per cell): 1.18
N(E_F) (states/eV/f.u.): 11.519
Space group: Immm, No. 71

a b c (Å): 3.584 5.950 5.950
angles (deg): 68.24 72.47 72.47
Site moments in Bohr magnetons follow the coordinates.
Positions (direct):
Dy 0.000 0.000 0.000  -0.05
Cu 0.744 0.756 0.756  0.03
Cu 0.256 0.244 0.244  0.03
Ni 0.000 0.500 0.500  0.35
Ni 0.635 0.548 0.181  0.23
Ni 0.365 0.452 0.819  0.23
Ni 0.365 0.819 0.452  0.23
Ni 0.635 0.181 0.548  0.23



# 7
Compound: DyCu4Ni2
Source: the Alexandria database
Functional: PBE
Structure: optimized geometry

Theoretical density (g/cm3): 9.3
Calculated formation energy (kcal/mol of atoms): -4.09
VASP energy (eV per atom): -4.83
Size of the total moment (Bohr magnetons per cell): 0.00
N(E_F) (states/eV/f.u.): 2.918
Space group: C2/m, No. 12

a b c (Å): 4.850 5.058 5.058
angles (deg): 76.97 61.51 61.51
Positions (direct):
Dy 0.000 0.000 0.000
Cu 0.694 0.612 0.000
Cu 0.306 0.388 0.000
Cu 0.694 0.000 0.612
Cu 0.306 0.000 0.388
Ni 0.750 0.500 0.500
Ni 0.250 0.500 0.500



# 8
Compound: DyCu2Ni3
Source: the Alexandria database
Functional: PBE
Structure: optimized geometry

Theoretical density (g/cm3): 9.5
Calculated formation energy (kcal/mol of atoms): -2.87
VASP energy (eV per atom): -5.15
Size of the total moment (Bohr magnetons per cell): 0.00
N(E_F) (states/eV/f.u.): 3.611
Space group: R-3m, No. 166

a b c (Å): 5.333 5.333 7.315
angles (deg): 68.62 68.62 60.00
Positions (direct):
Dy 0.788 0.788 0.637
Dy 0.212 0.212 0.363
Cu 0.000 0.000 0.000
Cu 0.000 0.500 0.000
Cu 0.500 0.500 0.000
Cu 0.500 0.000 0.000
Ni 0.249 0.721 0.310
Ni 0.721 0.249 0.310
Ni 0.721 0.721 0.310
Ni 0.279 0.751 0.690
Ni 0.751 0.279 0.690
Ni 0.279 0.279 0.690